# 1
VASP calculation (PBE-GGA) on a geometry-optimized MnCuAg2 structure.

As for the energy above the most stable polymorph in this dataset: 67 meV per atom. Its energy relative to the elements is 0.9 eV per formula unit. The calculation puts the energy at -0.331 Ry/atom. The total magnetization is 15.9 μB per cell.

It has space group F-43m (No. 216), with a = 6.3369 Å, b = 6.3369 Å, c = 6.3369 Å, α = 90.00°, β = 90.00° and γ = 90.00°. The asymmetric unit holds Mn at (0.0000, 0.0000, 0.0000), Cu at (0.2500, 0.2500, 0.7500), Ag at (0.0000, 0.0000, 0.5000) and Ag at (0.2500, 0.2500, 0.2500).



# 2
VASP calculation (PBE-GGA) on a geometry-optimized MnCuAg2 structure.

As for the energy above the most stable polymorph in this dataset: 47 meV per atom. Its energy relative to the elements is 0.9 eV per formula unit. The calculation puts the energy at -0.333 Ry/atom. The total magnetization is 4.1 μB per cell.

It has space group Pmmm (No. 47), with a = 3.0147 Å, b = 3.5252 Å, c = 5.9736 Å, α = 90.00°, β = 90.00° and γ = 90.00°. The asymmetric unit holds Mn at (0.0000, 0.0000, 0.0000), Cu at (0.0000, 0.0000, 0.5000) and Ag at (0.5000, 0.5000, 0.2577).



# 3
VASP calculation (PBE-GGA) on a geometry-optimized Mn2CuAg structure.

As for the energy above the most stable polymorph in this dataset: 152 meV per atom. Its energy relative to the elements is 1.4 eV per formula unit. The calculation puts the energy at -0.438 Ry/atom. The total magnetization is 14.8 μB per cell.

It has space group C2/m (No. 12), with a = 9.0904 Å, b = 2.8030 Å, c = 4.7590 Å, α = 90.00°, β = 102.09° and γ = 90.00°. The asymmetric unit holds Mn at (0.2423, 0.0000, 0.2372), Cu at (0.0000, 0.5000, 0.0000) and Ag at (0.0000, 0.0000, 0.5000).



# 4
VASP calculation (PBE-GGA) on a geometry-optimized MnCuAg structure.

As for the energy above the most stable polymorph in this dataset: 305 meV per atom. Its energy relative to the elements is 1.5 eV per formula unit. The calculation puts the energy at -0.359 Ry/atom. The total magnetization is 16.8 μB per cell.

It has space group F-43m (No. 216), with a = 5.9576 Å, b = 5.9576 Å, c = 5.9576 Å, α = 90.00°, β = 90.00° and γ = 90.00°. The asymmetric unit holds Mn at (0.0000, 0.0000, 0.0000), Cu at (0.2500, 0.2500, 0.7500) and Ag at (0.0000, 0.0000, 0.5000).



# 5
VASP calculation (PBE-GGA) on a geometry-optimized MnCuAg2 structure.

As for the energy above the most stable polymorph in this dataset: 320 meV per atom. Its energy relative to the elements is 2.0 eV per formula unit. The calculation puts the energy at -0.313 Ry/atom. The total magnetization is 17.2 μB per cell.

It has space group I-42d (No. 122), with a = 7.2071 Å, b = 7.2071 Å, c = 5.4115 Å, α = 90.00°, β = 90.00° and γ = 90.00°. The asymmetric unit holds Mn at (0.0000, 0.0000, 0.0000), Cu at (0.0000, 0.0000, 0.5000) and Ag at (0.2349, 0.7500, 0.6250).



# 6
VASP calculation (PBE-GGA) on a geometry-optimized MnCuAg2 structure.

As for the energy above the most stable polymorph in this dataset: 20 meV per atom. Its energy relative to the elements is 0.8 eV per formula unit. The calculation puts the energy at -0.335 Ry/atom. The total magnetization is 8.3 μB per cell.

It has space group I-4m2 (No. 119), with a = 3.9640 Å, b = 3.9640 Å, c = 8.0354 Å, α = 90.00°, β = 90.00° and γ = 90.00°. The asymmetric unit holds Mn at (0.0000, 0.0000, 0.0000), Cu at (0.0000, 0.5000, 0.2500), Ag at (0.0000, 0.0000, 0.5000) and Ag at (0.0000, 0.5000, 0.7500).